[1]
Entry from Alexandria via LeMat-Bulk: a geometry-optimized MgCu4Ir structure (PBEsol).

Cell: 6.710 6.710 6.710 Å, 90.00 90.00 90.00°
Space group F-43m (No. 216)
Inequivalent atoms, fractional coordinates:
Mg (0.000, 0.000, 0.000)
Cu (0.125, 0.125, 0.375)
Ir (0.250, 0.250, 0.750)

## Properties
- calculated formation energy (eV/atom) = -0.017
- magnetic moment (μB/atom) = 0.00

[2]
Entry from Alexandria via LeMat-Bulk: a geometry-optimized CaTcRu2 structure (PBEsol).

Cell: 2.727 2.727 8.555 Å, 90.00 90.00 90.00°
Space group P4mm (No. 99)
Inequivalent atoms, fractional coordinates:
Ca (0.000, 0.000, 0.000)
Tc (0.500, 0.500, 0.706)
Ru (0.000, 0.000, 0.482)
Ru (0.500, 0.500, 0.281)

## Properties
- calculated formation energy (eV/atom) = 0.456
- magnetic moment (μB/atom) = 0.00
- E above lowest polymorph (kJ/mol of formula units) = 0

[3]
Entry from Alexandria via LeMat-Bulk: a geometry-optimized LiRe2O structure (PBEsol).

Cell: 4.824 4.824 12.666 Å, 90.00 90.00 90.00°
Space group I4_1/amd (No. 141, origin choice 2)
Inequivalent atoms, fractional coordinates:
Li (0.000, 0.250, 0.375)
Re (0.000, 0.000, 0.000)
O (0.000, 0.250, 0.875)

## Properties
- raw formation energy (eV per atom) = 0.9550
- magnetic moment (μB/atom) = 0.00

[4]
Entry from Alexandria via LeMat-Bulk: a geometry-optimized KPbSe2Br structure (PBEsol).

Cell: 5.389 5.389 5.883 Å, 90.00 90.00 90.00°
Space group P4/mmm (No. 123)
Inequivalent atoms, fractional coordinates:
K (0.000, 0.000, 0.000)
Pb (0.500, 0.500, 0.500)
Se (0.000, 0.500, 0.500)
Br (0.500, 0.500, 0.000)

## Properties
- raw formation energy (eV per atom) = -0.4611
- magnetic moment (μB/atom) = 0.00
- E above lowest polymorph (kJ/mol of formula units) = 0

[5]
Entry from Alexandria via LeMat-Bulk: a geometry-optimized La3SnIr structure (PBEsol).

Cell: 5.490 5.490 5.490 Å, 90.00 90.00 90.00°
Space group Pm-3m (No. 221)
Inequivalent atoms, fractional coordinates:
La (0.000, 0.000, 0.500)
Sn (0.500, 0.500, 0.500)
Ir (0.000, 0.000, 0.000)

## Properties
- calculated formation energy (eV/atom) = -0.512
- magnetic moment (μB/atom) = 0.00

[6]
Entry from Alexandria via LeMat-Bulk: a geometry-optimized MnSi2Mo structure (PBEsol).

Cell: 8.614 2.866 4.258 Å, 90.00 107.55 90.00°
Space group Cm (No. 8)
Inequivalent atoms, fractional coordinates:
Mn (0.000, 0.000, 0.000)
Si (0.236, 0.500, 0.153)
Si (0.495, 0.000, 0.469)
Mo (0.249, 0.000, 0.658)

## Properties
- raw formation energy (eV per atom) = -0.2780
- magnetic moment (μB/atom) = 0.00

[7]
Entry from Alexandria via LeMat-Bulk: a geometry-optimized Cs3O structure (PBEsol).

Cell: 8.6688 8.6688 7.3401 Å, 90.00 90.00 120.00°
Space group P6_3/mcm (No. 193)
Inequivalent atoms, fractional coordinates:
Cs (0.0000, 0.2486, 0.2500)
O (0.0000, 0.0000, 0.0000)

## Properties
- raw formation energy (eV per atom) = -0.8269
- magnetic moment (μB/atom) = 0.00

[8]
Entry from Alexandria via LeMat-Bulk: a geometry-optimized LiLaSb2 structure (PBEsol).

Cell: 3.382 4.305 6.939 Å, 90.00 90.00 90.00°
Space group Pmmm (No. 47)
Inequivalent atoms, fractional coordinates:
Li (0.000, 0.000, 0.000)
La (0.000, 0.000, 0.500)
Sb (0.500, 0.500, 0.225)

## Properties
- raw formation energy (eV per atom) = -0.7096
- magnetic moment (μB/atom) = 0.00